[1]
VASP calculation (PBE) on a relaxed CdIn2Cu crystal.

Cell: 4.405 3.382 6.524 Å, 64.80 90.00 90.00°
Element x y z (fractional)
In 0.000 0.887 0.981
In 0.000 0.613 0.519
Cd 0.500 0.250 0.250
Cu 0.500 0.750 0.750

Output
E_form   0.60 eV per formula unit
Theoretical density   7.66 g/cm3

***

[2]
VASP calculation (PBE) on a relaxed BaSeS5 crystal.

Cell: 9.244 9.244 9.425 Å, 59.09 59.09 38.18°
Element x y z (fractional)
Ba 0.358 0.642 0.250
S 0.322 0.158 0.649
S 0.436 0.210 0.175
S 0.158 0.322 0.149
Se 0.000 0.000 0.000
Ba 0.642 0.358 0.750
Se 0.000 0.000 0.500
S 0.790 0.564 0.325
S 0.564 0.790 0.825
S 0.210 0.436 0.675
S 0.144 0.856 0.750
S 0.842 0.678 0.851
S 0.856 0.144 0.250
S 0.678 0.842 0.351

Output
E_form (uncorrected)   -0.37 eV/atom
Theoretical density   2.99 g/cm3